CrTcRu2 | PBE | relaxed

```
4
Lattice="-0.620 0.474 -5.087 4.114 -0.315 -3.077 -2.983 -2.296 3.510" Properties=species:S:1:pos:R:3 pbc="T T T"
Tc 1.645 0.075 -3.845
Ru 0.106 0.005 -0.247
Ru -0.948 -0.872 -2.784
Cr 1.454 -1.265 -1.861
```

The space group is No. 44. For the energy of formation, the calculation gives 0.235 eV/atom. For the relative energy among the computed polymorphs, the calculation gives 170 meV/atom.

***

CrTcRu2 | PBE | relaxed

```
4
Lattice="-0.295 -2.222 1.508 0.697 -2.128 -2.999 5.285 0.090 1.164" Properties=species:S:1:pos:R:3 pbc="T T T"
Tc 2.668 0.045 0.588
Ru 1.537 -2.152 -0.451
Ru 5.179 0.088 1.141
Cr 4.230 -2.107 0.142
```

The space group is No. 25. For the energy of formation, the calculation gives 0.116 eV/atom. For the relative energy among the computed polymorphs, the calculation gives 51 meV/atom.

***

CrTcRu | PBE | relaxed

```
12
Lattice="-0.665 3.703 2.185 -1.598 0.938 -2.075 -10.565 -6.392 5.246" Properties=species:S:1:pos:R:3 pbc="T T T"
Tc -4.588 -1.161 3.008
Tc -7.962 -3.429 4.581
Tc -3.479 0.236 0.921
Tc -10.669 -3.889 4.593
Ru -9.607 -1.382 4.908
Ru -2.416 2.738 1.233
Ru -3.526 1.346 3.323
Ru -6.899 -0.927 4.893
Cr -6.104 0.945 3.262
Cr -10.588 -2.720 6.923
Cr -0.887 0.629 0.967
Cr -6.969 -2.098 2.553
```

The space group is No. 8. For the energy of formation, the calculation gives 0.062 eV/atom. For the relative energy among the computed polymorphs, the calculation gives 0 meV/atom.

***

Cr4TcRu | PBE | relaxed

```
6
Lattice="-3.414 2.498 -2.126 -4.128 -2.061 -1.065 -3.916 1.170 2.391" Properties=species:S:1:pos:R:3 pbc="T T T"
Cr -5.094 2.041 0.034
Cr -7.168 1.006 -0.501
Cr -5.200 0.418 -1.702
Cr -5.453 -0.250 0.568
Tc 0.000 0.000 0.000
Ru -2.864 0.402 -0.200
```

The space group is No. 216. For the energy of formation, the calculation gives 0.032 eV/atom.

***

CrTcRu | PBE | relaxed

```
6
Lattice="-0.245 0.695 -2.575 -3.866 -0.760 0.162 -1.219 6.919 3.375" Properties=species:S:1:pos:R:3 pbc="T T T"
Cr -3.125 0.334 -1.006
Cr -2.205 6.519 1.968
Ru -1.763 4.127 1.281
Ru -3.566 2.726 -0.318
Tc -4.042 5.305 0.423
Tc -1.287 1.548 0.540
```

The space group is No. 63. For the energy of formation, the calculation gives 0.152 eV/atom. For the relative energy among the computed polymorphs, the calculation gives 90 meV/atom.

***

CrTcRu2 | PBE | relaxed

```
4
Lattice="-0.812 2.207 1.343 -0.835 -0.209 2.567 7.494 1.967 4.026" Properties=species:S:1:pos:R:3 pbc="T T T"
Cr 6.387 3.297 6.629
Ru 1.433 0.987 1.974
Ru 5.554 1.653 3.369
Tc 2.892 1.977 3.957
```

The space group is No. 160. For the energy of formation, the calculation gives 0.065 eV/atom. For the relative energy among the computed polymorphs, the calculation gives 0 meV/atom.